{
  "formula": "WOF4",
  "functional": "GGA+U",
  "state": "optimized geometry",
  "vol_a3_per_atom": 16.33,
  "dft_energy_ev_per_atom": -5.78,
  "cell": [[5.373, 0.016, 0.000], [-3.960, 3.632, 0.000], [-0.707, -1.824, 5.004]],
  "species": ["W", "O", "F", "F", "F", "F"],
  "fractional_positions": [[0.016, 0.016, 0.000], [0.557, 0.557, 0.000], [0.325, 0.993, 0.174], [0.993, 0.819, 0.668], [0.151, 0.325, 0.332], [0.819, 0.151, 0.826]]
}